Record 1
A plane-wave DFT calculation with PBE-GGA was carried out for a relaxed structure of NaSi2HgS.

abc: 4.757 5.030 4.757
angles: 90.00 90.00 90.00
Fractional positions:
1 Na 0.000 0.500 0.000
2 S 0.000 0.000 0.000
3 Si 0.000 0.000 0.500
4 Si 0.500 0.000 0.000
5 Hg 0.500 0.500 0.500

Summary:
ΔE to the lowest computed polymorph: 0.000 eV/atom

***

Record 2
A plane-wave DFT calculation with PBE-GGA was carried out for a relaxed structure of Ca2Si2Te.

abc: 3.788 3.788 9.011
angles: 77.87 77.87 90.00
Fractional positions:
1 Ca 0.393 0.393 0.214
2 Ca 0.607 0.607 0.786
3 Te 0.000 0.000 0.000
4 Si 0.750 0.250 0.500
5 Si 0.250 0.750 0.500

Summary:
ΔE to the lowest computed polymorph: 0.000 eV/atom

***

What are the DOS(E_F) values for these records? In order: 3.28 1.70 states/eV/f.u..
What are the E_form (uncorrected) values for these records? In order: 414 -630 meV/atom.
What are the total moment values for these records? In order: 0.000 0.000 μB/cell.